[1]
This record from Alexandria via LeMat-Bulk describes an optimized crystal structure of LiMg2GaH. The functional is PBE.

POSCAR file:
```
LiMg2GaH
1.0
-2.728 -0.917 -3.557
1.451 -4.339 0.006
-2.638 -0.879 2.249
H Mg Ga Li
1 2 1 1
direct
0.000 0.000 0.000
0.000 0.500 0.000
0.500 0.000 0.000
0.500 0.500 0.500
0.000 0.000 0.500
```

## Properties
VASP energy ... -2.475 eV/atom

***

[2]
This record from Alexandria via LeMat-Bulk describes an optimized crystal structure of Li2MgGaH. The functional is PBE.

POSCAR file:
```
Li2MgGaH
1.0
3.956 0.000 0.000
0.000 3.956 0.000
0.000 0.000 4.478
H Mg Ga Li
1 1 1 2
direct
0.000 0.000 0.000
0.000 0.000 0.500
0.500 0.500 0.500
0.000 0.500 0.000
0.500 0.000 0.000
```

## Properties
E above lowest polymorph ... 0.0 meV per atom
VASP energy ... -2.561 eV/atom

***

[3]
This record from Alexandria via LeMat-Bulk describes an optimized crystal structure of Li6Mg2GaH. The functional is PBE.

POSCAR file:
```
Li6Mg2GaH
1.0
5.359 0.067 -0.041
-0.071 7.149 -1.251
2.678 2.610 3.859
Li Mg Ga H
6 2 1 1
direct
0.235 0.142 0.534
0.754 0.824 0.982
0.253 0.817 0.985
0.747 0.183 0.015
0.246 0.176 0.018
0.765 0.858 0.466
0.806 0.403 0.389
0.194 0.597 0.611
0.500 0.500 0.000
0.000 0.000 0.000
```

## Properties
VASP energy ... -2.238 eV/atom

***

[4]
This record from Alexandria via LeMat-Bulk describes an optimized crystal structure of Li2MgGaH. The functional is PBE.

POSCAR file:
```
Li2MgGaH
1.0
-3.037 -2.635 0.190
1.925 -2.405 -2.592
2.062 -2.124 3.503
H Mg Ga Li
1 1 1 2
direct
0.000 0.000 0.000
0.500 0.500 0.500
0.000 0.000 0.500
0.000 0.500 0.000
0.500 0.000 0.000
```

## Properties
E above lowest polymorph ... 105.2 meV per atom
VASP energy ... -2.456 eV/atom

***

[5]
This record from Alexandria via LeMat-Bulk describes an optimized crystal structure of Li2MnGaH. The functional is PBE.

POSCAR file:
```
Li2MnGaH
1.0
3.712 0.000 0.000
0.000 3.712 0.000
0.000 0.000 4.197
H Mn Ga Li
1 1 1 2
direct
0.000 0.000 0.000
0.000 0.000 0.500
0.500 0.500 0.500
0.000 0.500 0.000
0.500 0.000 0.000
```

## Properties
VASP energy ... -4.022 eV/atom

***

[6]
This record from Alexandria via LeMat-Bulk describes an optimized crystal structure of Li2NbGaH. The functional is PBE.

POSCAR file:
```
Li2NbGaH
1.0
-3.131 0.130 -2.246
1.104 -3.265 -1.728
-2.131 -2.224 2.841
H Nb Ga Li
1 1 1 2
direct
0.000 0.000 0.000
0.000 0.000 0.500
0.500 0.500 0.500
0.000 0.500 0.000
0.500 0.000 0.000
```

## Properties
VASP energy ... -4.265 eV/atom

***

Number 1: magnetic moment 0.00 μB per formula unit, calculated volume 74.87 Å³ per cell. Number 2: magnetic moment 0.00 μB per formula unit, calculated volume 70.10 Å³ per cell. Number 3: magnetic moment 0.00 μB per formula unit, calculated volume 165.92 Å³ per cell. Number 4: magnetic moment 0.00 μB per formula unit, calculated volume 74.34 Å³ per cell. Number 5: magnetic moment 3.29 μB per formula unit, calculated volume 57.85 Å³ per cell. Number 6: magnetic moment 0.00 μB per formula unit, calculated volume 62.28 Å³ per cell.